Below is crystalline Rb2NbI5Cl at its relaxed geometry, with properties calculated at the PBE level.

Cell lengths 8.4976, 8.4976, 10.6713 Å; angles 90.00, 90.00, 90.00 degrees
Space group I4mm (No. 107)
Asymmetric unit:
Rb1 0.0000 0.5000 0.0000 [4 per cell]
Nb1 0.0000 0.0000 0.2462 [2 per cell]
I1 0.0000 0.0000 0.5069 [2 per cell]
I2 0.2373 0.2373 0.2494 [8 per cell]
Cl1 0.0000 0.0000 0.0233 [2 per cell]

Calculated values
Formation energy from raw total energies = -1.02 eV per atom
Total moment = 2.00 Bohr magnetons per cell

Below is crystalline NbSICl2 at its relaxed geometry, with properties calculated at the PBE level.

Cell lengths 4.9515, 4.9515, 4.8985 Å; angles 90.00, 90.00, 90.00 degrees
Space group P4/mmm (No. 123)
Asymmetric unit:
Nb1 0.0000 0.0000 0.0000 [1 per cell]
S1 0.0000 0.0000 0.5000 [1 per cell]
I1 0.5000 0.5000 0.5000 [1 per cell]
Cl1 0.0000 0.5000 0.0000 [2 per cell]

Calculated values
Relative energy among the computed polymorphs = 0.0 meV/atom
Formation energy from raw total energies = -0.40 eV per atom
Total moment = 0.00 Bohr magnetons per cell

Below is crystalline NbSICl2 at its relaxed geometry, with properties calculated at the PBE level.

Cell lengths 4.7177, 4.7177, 5.7852 Å; angles 90.00, 90.00, 90.00 degrees
Space group P4/mmm (No. 123)
Asymmetric unit:
Nb1 0.0000 0.0000 0.0000 [1 per cell]
S1 0.5000 0.5000 0.5000 [1 per cell]
I1 0.0000 0.0000 0.5000 [1 per cell]
Cl1 0.0000 0.5000 0.0000 [2 per cell]

Calculated values
Relative energy among the computed polymorphs = 349.4 meV/atom
Formation energy from raw total energies = -0.05 eV per atom
Total moment = 0.00 Bohr magnetons per cell

Below is crystalline NbSICl2 at its relaxed geometry, with properties calculated at the PBE level.

Cell lengths 5.4164, 5.4164, 5.2402 Å; angles 90.00, 90.00, 90.00 degrees
Space group P4/mmm (No. 123)
Asymmetric unit:
Nb1 0.0000 0.0000 0.0000 [1 per cell]
S1 0.5000 0.5000 0.0000 [1 per cell]
I1 0.5000 0.5000 0.5000 [1 per cell]
Cl1 0.0000 0.5000 0.5000 [2 per cell]

Calculated values
Relative energy among the computed polymorphs = 1441.4 meV/atom
Formation energy from raw total energies = 1.04 eV per atom
Total moment = 3.68 Bohr magnetons per cell

Below is crystalline NbSbI2Cl at its relaxed geometry, with properties calculated at the PBE level.

Cell lengths 5.4366, 5.4366, 5.5373 Å; angles 90.00, 90.00, 90.00 degrees
Space group P4/mmm (No. 123)
Asymmetric unit:
Nb1 0.0000 0.0000 0.0000 [1 per cell]
Sb1 0.0000 0.0000 0.5000 [1 per cell]
I1 0.0000 0.5000 0.0000 [2 per cell]
Cl1 0.5000 0.5000 0.5000 [1 per cell]

Calculated values
Relative energy among the computed polymorphs = 0.0 meV/atom
Formation energy from raw total energies = 0.07 eV per atom
Total moment = 0.00 Bohr magnetons per cell

Below is crystalline NbSb2ICl at its relaxed geometry, with properties calculated at the PBE level.

Cell lengths 5.3886, 5.3886, 5.4641 Å; angles 90.00, 90.00, 90.00 degrees
Space group P4/mmm (No. 123)
Asymmetric unit:
Nb1 0.0000 0.0000 0.0000 [1 per cell]
Sb1 0.0000 0.5000 0.0000 [2 per cell]
I1 0.0000 0.0000 0.5000 [1 per cell]
Cl1 0.5000 0.5000 0.5000 [1 per cell]

Calculated values
Relative energy among the computed polymorphs = 0.0 meV/atom
Formation energy from raw total energies = 0.14 eV per atom
Total moment = 0.00 Bohr magnetons per cell

Below is crystalline NbSbI2Cl at its relaxed geometry, with properties calculated at the PBE level.

Cell lengths 5.8216, 5.8216, 5.1409 Å; angles 90.00, 90.00, 90.00 degrees
Space group P4/mmm (No. 123)
Asymmetric unit:
Nb1 0.0000 0.0000 0.0000 [1 per cell]
Sb1 0.5000 0.5000 0.0000 [1 per cell]
I1 0.0000 0.5000 0.5000 [2 per cell]
Cl1 0.5000 0.5000 0.5000 [1 per cell]

Calculated values
Relative energy among the computed polymorphs = 1120.4 meV/atom
Formation energy from raw total energies = 1.19 eV per atom
Total moment = 2.11 Bohr magnetons per cell

Below is crystalline NbSb2ICl at its relaxed geometry, with properties calculated at the PBE level.

Cell lengths 5.0605, 5.0605, 6.2651 Å; angles 90.00, 90.00, 90.00 degrees
Space group P4/mmm (No. 123)
Asymmetric unit:
Nb1 0.0000 0.0000 0.0000 [1 per cell]
Sb1 0.0000 0.5000 0.5000 [2 per cell]
I1 0.5000 0.5000 0.0000 [1 per cell]
Cl1 0.5000 0.5000 0.5000 [1 per cell]

Calculated values
Relative energy among the computed polymorphs = 982.8 meV/atom
Formation energy from raw total energies = 1.12 eV per atom
Total moment = 2.37 Bohr magnetons per cell

Below is crystalline SrNbICl2 at its relaxed geometry, with properties calculated at the PBE level.

Cell lengths 6.3615, 6.3615, 5.9014 Å; angles 90.00, 90.00, 90.00 degrees
Space group P4/mmm (No. 123)
Asymmetric unit:
Sr1 0.0000 0.0000 0.0000 [1 per cell]
Nb1 0.5000 0.5000 0.0000 [1 per cell]
I1 0.0000 0.0000 0.5000 [1 per cell]
Cl1 0.0000 0.5000 0.5000 [2 per cell]

Calculated values
Formation energy from raw total energies = 0.63 eV per atom
Total moment = 4.68 Bohr magnetons per cell

Below is crystalline YNbICl2 at its relaxed geometry, with properties calculated at the PBE level.

Cell lengths 4.7782, 4.7782, 6.1147 Å; angles 90.00, 90.00, 90.00 degrees
Space group P4/mmm (No. 123)
Asymmetric unit:
Y1 0.0000 0.0000 0.0000 [1 per cell]
Nb1 0.0000 0.0000 0.5000 [1 per cell]
I1 0.5000 0.5000 0.0000 [1 per cell]
Cl1 0.0000 0.5000 0.5000 [2 per cell]

Calculated values
Formation energy from raw total energies = -0.61 eV per atom
Total moment = 0.00 Bohr magnetons per cell

Below is crystalline Nd2ICl5 at its relaxed geometry, with properties calculated at the PBE level.

Cell lengths 4.6849, 8.4895, 11.1582 Å; angles 90.00, 90.00, 90.00 degrees
Space group Immm (No. 71)
Asymmetric unit:
Nd1 0.0000 0.0000 0.2420 [4 per cell]
I1 0.0000 0.5000 0.0000 [2 per cell]
Cl1 0.0000 0.0000 0.0000 [2 per cell]
Cl2 0.0000 0.3135 0.3326 [8 per cell]

Calculated values
Formation energy from raw total energies = -2.03 eV per atom
Total moment = 0.00 Bohr magnetons per cell

Below is crystalline NdICl2 at its relaxed geometry, with properties calculated at the PBE level.

Cell lengths 4.1299, 15.0734, 8.8231 Å; angles 90.00, 90.00, 90.00 degrees
Space group Cmcm (No. 63)
Asymmetric unit:
Nd1 0.0000 0.2393 0.2500 [4 per cell]
I1 0.0000 0.4183 0.7500 [4 per cell]
Cl1 0.0000 0.1748 0.5721 [8 per cell]

Calculated values
Formation energy from raw total energies = -1.97 eV per atom
Total moment = 0.00 Bohr magnetons per cell

Below is crystalline NdICl at its relaxed geometry, with properties calculated at the PBE level.

Cell lengths 3.7149, 3.7149, 14.6567 Å; angles 90.00, 90.00, 90.00 degrees
Space group I4mm (No. 107)
Asymmetric unit:
Nd1 0.0000 0.0000 0.0000 [2 per cell]
I1 0.0000 0.0000 0.3663 [2 per cell]
Cl1 0.0000 0.0000 0.6045 [2 per cell]

Calculated values
Relative energy among the computed polymorphs = 57.7 meV/atom
Formation energy from raw total energies = -1.59 eV per atom
Total moment = 0.00 Bohr magnetons per cell

Below is crystalline NdICl at its relaxed geometry, with properties calculated at the PBE level.

Cell lengths 4.1010, 6.9718, 8.4508 Å; angles 74.37, 76.68, 90.00 degrees
Space group P-1 (No. 2)
Asymmetric unit:
Nd1 0.2498 0.2459 0.0004 [2 per cell]
I1 0.1204 0.8225 0.2729 [2 per cell]
Cl1 0.3475 0.6506 0.7946 [2 per cell]

Calculated values
Relative energy among the computed polymorphs = 28.2 meV/atom
Formation energy from raw total energies = -1.62 eV per atom
Total moment = 0.00 Bohr magnetons per cell

Below is crystalline Nd3I7Cl at its relaxed geometry, with properties calculated at the PBE level.

Cell lengths 8.8453, 8.8453, 7.7027 Å; angles 90.00, 90.00, 120.00 degrees
Space group P3m1 (No. 156)
Asymmetric unit:
Nd1 0.0048 0.5024 0.0000 [3 per cell]
I1 0.1673 0.3346 0.7604 [3 per cell]
I2 0.3367 0.1683 0.2368 [3 per cell]
I3 0.6667 0.3333 0.7553 [1 per cell]
Cl1 0.3333 0.6667 0.1813 [1 per cell]

Calculated values
Formation energy from raw total energies = -1.45 eV per atom
Total moment = 0.88 Bohr magnetons per cell

Below is crystalline NdICl at its relaxed geometry, with properties calculated at the PBE level.

Cell lengths 4.0781, 4.0781, 7.6955 Å; angles 90.00, 90.00, 120.00 degrees
Space group P3m1 (No. 156)
Asymmetric unit:
Nd1 0.0000 0.0000 0.0000 [1 per cell]
I1 0.3333 0.6667 0.7264 [1 per cell]
Cl1 0.6667 0.3333 0.2169 [1 per cell]

Calculated values
Relative energy among the computed polymorphs = 43.9 meV/atom
Formation energy from raw total energies = -1.61 eV per atom
Total moment = 0.00 Bohr magnetons per cell

Below is crystalline Nd2I2Cl3 at its relaxed geometry, with properties calculated at the PBE level.

Cell lengths 12.0234, 4.0998, 9.3779 Å; angles 90.00, 114.25, 90.00 degrees
Space group C2/m (No. 12)
Asymmetric unit:
Nd1 0.1356 0.0000 0.2226 [4 per cell]
I1 0.1616 0.0000 0.7922 [4 per cell]
Cl1 0.0000 0.5000 0.0000 [2 per cell]
Cl2 0.1274 0.5000 0.4236 [4 per cell]

Calculated values
Formation energy from raw total energies = -1.76 eV per atom
Total moment = 0.00 Bohr magnetons per cell

Below is crystalline NdICl at its relaxed geometry, with properties calculated at the PBE level.

Cell lengths 4.0737, 4.0741, 15.9136 Å; angles 83.02, 83.38, 60.01 degrees
Space group P-1 (No. 2)
Asymmetric unit:
Nd1 0.0813 0.0733 0.2737 [2 per cell]
I1 0.2132 0.2147 0.8627 [2 per cell]
Cl1 0.2819 0.2958 0.6198 [2 per cell]

Calculated values
Relative energy among the computed polymorphs = 0.0 meV/atom
Formation energy from raw total energies = -1.65 eV per atom
Total moment = 2.01 Bohr magnetons per cell

Below is crystalline NdICl at its relaxed geometry, with properties calculated at the PBE level.

Cell lengths 5.1838, 5.1851, 8.1615 Å; angles 90.00, 101.11, 90.00 degrees
Space group P2_1/m (No. 11)
Asymmetric unit:
Nd1 0.2499 0.2500 0.0000 [2 per cell]
I1 0.1712 0.7500 0.7401 [2 per cell]
Cl1 0.3050 0.7500 0.1807 [2 per cell]

Calculated values
Relative energy among the computed polymorphs = 9.2 meV/atom
Formation energy from raw total energies = -1.64 eV per atom
Total moment = 0.00 Bohr magnetons per cell

Below is crystalline Nd6Pt2I3Cl at its relaxed geometry, with properties calculated at the PBE level.

Cell lengths 7.5926, 13.1167, 8.2064 Å; angles 90.00, 107.80, 90.00 degrees
Space group C2/m (No. 12)
Asymmetric unit:
Nd1 0.2017 0.0000 0.1898 [4 per cell]
Nd2 0.2456 0.3190 0.1924 [8 per cell]
Pt1 0.0000 0.1673 0.0000 [4 per cell]
I1 0.0000 0.0000 0.5000 [2 per cell]
I2 0.0000 0.3396 0.5000 [4 per cell]
Cl1 0.0000 0.5000 0.0000 [2 per cell]

Calculated values
Formation energy from raw total energies = -1.12 eV per atom
Total moment = 0.00 Bohr magnetons per cell